## SiSbSe2 (PBE)

Data for a relaxed SiSbSe2 crystal.

## Properties
Polymorph energy (0 for the lowest one) ... 57 meV per atom
Magnetization ... 0.0 μB per cell
ρ ... 4.5 g cm⁻³
Formation energy from raw total energies ... -5 meV/atom
VASP energy ... -16.534 eV for the cell shown

abc: 6.7750 6.7750 4.8549
angles: 77.28 77.28 31.44
Fractional coordinates of all 4 atoms:
Sb  0.1705  0.1705  0.1934
Se  0.9985  0.9985  0.9777
Se  0.7510  0.7510  0.6940
Si  0.5800  0.5800  0.6349